This record from the Alexandria database describes an optimized crystal structure of TbCo12Ge6. The functional is PBE. Values from VASP.

```
&SYSTEM
  ibrav = 0, nat = 19, ntyp = 3
/
ATOMIC_SPECIES
Ge 72.64 Ge.upf
Co 58.93 Co.upf
Tb 158.93 Tb.upf
CELL_PARAMETERS angstrom
6.6680 -0.0484 -0.0682
-1.6998 6.4479 -0.0682
-1.6998 -2.1895 6.0652
ATOMIC_POSITIONS crystal
Ge 0.2481 0.7046 0.2481
Ge 0.7046 0.2481 0.2481
Co 0.8761 0.5000 0.1239
Co 0.5000 0.8761 0.1239
Co 0.5712 0.8182 0.5712
Co 0.1818 0.4288 0.4288
Co 0.5712 0.5712 0.8182
Ge 0.2954 0.7519 0.7519
Ge 0.7519 0.2954 0.7519
Tb 0.0000 0.0000 0.0000
Co 0.4288 0.4288 0.1818
Co 0.1239 0.8761 0.5000
Co 0.5000 0.1239 0.8761
Co 0.8182 0.5712 0.5712
Co 0.1239 0.5000 0.8761
Co 0.4288 0.1818 0.4288
Ge 0.2481 0.2481 0.7046
Co 0.8761 0.1239 0.5000
Ge 0.7519 0.7519 0.2954
```

Magnetization   0.3857 μB per atom
Density of states at the Fermi level   23.80 states/eV/cell
DFT formation energy   -1.127 eV/f.u.
Symmetry   R-3m (166)